Record 1
5
Lattice="4.8071 0.0000 0.0000 0.0000 4.8071 0.0000 0.0000 0.0000 4.8071" Properties=species:S:1:pos:R:3 comment="Li3BrCl (PBE-GGA, optimized geometry)" polymorph_energy_mev_per_atom=0 dft_energy_ev_per_cell=-14.178 formation_energy_uncorrected_mev_per_atom=-983 total_magnetization_mub_per_fu=0.00 crystal_system=cubic pbc="T T T"
Li 0.0000 2.4036 0.0000
Li 0.0000 0.0000 2.4036
Li 2.4036 0.0000 0.0000
Br 2.4036 2.4036 2.4036
Cl 0.0000 0.0000 0.0000

=====

Record 2
10
Lattice="3.8567 0.0000 0.0000 0.0000 3.8567 0.0000 -1.9283 -1.9283 13.6066" Properties=species:S:1:pos:R:3 comment="Li5Br4Cl (PBE-GGA, optimized geometry)" polymorph_energy_mev_per_atom=27 dft_energy_ev_per_cell=-33.845 formation_energy_uncorrected_mev_per_atom=-1574 total_magnetization_mub_per_fu=0.00 crystal_system=tetragonal pbc="T T T"
Li 0.0000 0.0000 2.5526
Li 1.9283 1.9283 0.0000
Li 1.9283 1.9283 11.0540
Li 0.0000 0.0000 8.1603
Li 1.9283 1.9283 5.4464
Br 0.0000 0.0000 10.9584
Br 1.9283 1.9283 8.1956
Br 0.0000 0.0000 5.4110
Br 1.9283 1.9283 2.6482
Cl 0.0000 0.0000 0.0000

=====

Record 3
6
Lattice="0.0000 4.3686 4.3686 4.3686 0.0000 4.3686 4.3686 4.3686 0.0000" Properties=species:S:1:pos:R:3 comment="LiBr4Cl (PBE-GGA, optimized geometry)" dft_energy_ev_per_cell=-9.806 formation_energy_uncorrected_mev_per_atom=108 total_magnetization_mub_per_fu=0.00 crystal_system=cubic pbc="T T T"
Li 0.0000 0.0000 0.0000
Br 3.2780 5.4592 5.4592
Br 5.4592 5.4592 3.2780
Br 5.4592 3.2780 5.4592
Br 3.2780 3.2780 3.2780
Cl 6.5529 6.5529 6.5529

=====

Record 4
4
Lattice="5.1623 0.0000 0.0000 0.0000 5.1623 0.0000 0.0000 0.0000 3.5751" Properties=species:S:1:pos:R:3 comment="LiBr2Cl (PBE-GGA, optimized geometry)" polymorph_energy_mev_per_atom=541 dft_energy_ev_per_cell=-8.078 formation_energy_uncorrected_mev_per_atom=-243 total_magnetization_mub_per_fu=0.29 crystal_system=tetragonal pbc="T T T"
Br 0.0000 0.0000 0.0000
Br 2.5811 2.5811 0.0000
Cl 2.5811 0.0000 1.7876
Li 0.0000 2.5811 1.7876